Ba2CdW after structural relaxation, computed with PBE.

**Energy of formation from the pure elements**: 20.8 kcal/mol of atoms
**V**: 31.19 Å³ per atom
**Mass density**: 7599 kg/m3
**Magnetic moment**: 0.7 μB per cell
**Total DFT energy (no corrections)**: -3.5254 eV per atom

```
data_Ba2CdW
_chemical_formula_sum 'Ba2 Cd1 W1'
_symmetry_space_group_name_H-M 'P 1 m 1'
_symmetry_Int_Tables_number 6
_cell_length_a 3.377
_cell_length_b 5.303
_cell_length_c 6.981
_cell_angle_alpha 90.00
_cell_angle_beta 93.80
_cell_angle_gamma 90.00
loop_
_symmetry_equiv_pos_as_xyz
'x,y,z'
'x,-y,z'
loop_
_atom_site_label
_atom_site_type_symbol
_atom_site_fract_x
_atom_site_fract_y
_atom_site_fract_z
Ba1 Ba 0.000 0.000 0.000
Ba2 Ba 0.083 0.500 0.621
Cd1 Cd 0.530 0.500 0.202
W1 W 0.551 0.000 0.418
```